Computed, not measured: a relaxed structure of MnAgI2O at the PBE with a Hubbard U level of DFT.

Properties
SG: P4/mmm (123)
total moment: 1.202 μB per atom
polymorph energy (0 for the lowest one): 2.84 eV/f.u.

The structure in extended XYZ format:
```
5
Lattice="5.807 0.000 0.000 0.000 5.807 0.000 0.000 0.000 4.039" Properties=species:S:1:pos:R:3 pbc="T T T"
I 0.000 2.904 0.000
Ag 0.000 0.000 0.000
O 0.000 0.000 2.020
I 2.904 0.000 0.000
Mn 2.904 2.904 2.020
```